Computed, not measured: ZrMnIn2 after structural relaxation at the PBE-GGA level of DFT.

The value obtained for the total energy is -5.745 eV/atom. Its formation energy is 0.05 eV per atom.

The structure belongs to space group Pm (No. 6); the cell edges are 3.163, 4.923 and 5.350 Å and the angles 90.00°, 90.16° and 90.00°. Symmetry generates all atoms from Zr at (0.000, 0.000, 0.000), Mn at (0.007, 0.500, 0.690), In at (0.501, 0.000, 0.517) and In at (0.503, 0.500, 0.169).


Computed, not measured: Ni5H12Os3 after structural relaxation at the PBE-GGA level of DFT.

The value obtained for the total energy is -4.834 eV/atom.

The structure belongs to space group Ia-3d (No. 230); the cell edges are 10.357, 10.357 and 10.357 Å and the angles 90.00°, 90.00° and 90.00°. Symmetry generates all atoms from Ni at (0.000, 0.000, 0.000), Ni at (0.000, 0.250, 0.375), H at (0.018, 0.068, 0.653) and Os at (0.000, 0.250, 0.125).


Computed, not measured: Sr3ZnSi2Au6 after structural relaxation at the PBE-GGA level of DFT.

The value obtained for the total energy is -3.489 eV/atom. The calculation puts the energy relative to the elements, uncorrected at -0.42 eV per atom.

The structure belongs to space group P-3m1 (No. 164); the cell edges are 6.7369, 6.7369 and 7.7794 Å and the angles 90.00°, 90.00° and 120.00°. Symmetry generates all atoms from Sr at (0.0000, 0.0000, 0.0000), Sr at (0.3333, 0.6667, 0.6920), Zn at (0.0000, 0.0000, 0.5000), Si at (0.3333, 0.6667, 0.1009) and Au at (0.1823, 0.3645, 0.3208).


Computed, not measured: ThMg3Cd4 after structural relaxation at the PBE-GGA level of DFT.

The value obtained for the total energy is -2.095 eV/atom. Its formation energy is -0.11 eV per atom.

The structure belongs to space group Pmma (No. 51); the cell edges are 9.924, 7.652 and 4.963 Å and the angles 90.00°, 90.00° and 90.00°. Symmetry generates all atoms from Th at (0.000, 0.000, 0.000), Mg at (0.000, 0.500, 0.000), Mg at (0.250, 0.000, 0.499), Mg at (0.250, 0.500, 0.497), Cd at (0.000, 0.273, 0.500) and Cd at (0.250, 0.273, 0.997).